[1]
A plane-wave DFT calculation with PBE was carried out for crystalline FeRh2I at its relaxed geometry.

Properties
Final energy, Ry/atom: -0.4079
Magnetization, μB/cell: 7.67

abc: 4.0092 4.0092 9.2566
angles: 77.49 77.49 90.00
With the nearest neighbours (Å) after each atom.
Fractional coordinates of all 8 atoms:
I  0.0000  0.0000  0.0000  4 Rh 2.65, 4 Fe 2.83
I  0.7500  0.2500  0.5000  4 Rh 2.65, 4 Fe 2.83
Fe  0.5000  0.5000  0.0000  4 Rh 2.59, 4 I 2.83
Rh  0.3750  0.3952  0.7500  2 Fe 2.59, 2 I 2.65, 2 Rh 2.72
Rh  0.1452  0.6250  0.2500  2 Fe 2.59, 2 I 2.65, 2 Rh 2.72
Rh  0.8750  0.8548  0.7500  2 Fe 2.59, 2 I 2.65, 2 Rh 2.72
Fe  0.2500  0.7500  0.5000  4 Rh 2.59, 4 I 2.83
Rh  0.6048  0.1250  0.2500  2 Fe 2.59, 2 I 2.65, 2 Rh 2.72

***

[2]
A plane-wave DFT calculation with PBE was carried out for crystalline FeRh2I8 at its relaxed geometry.

Properties
Final energy, Ry/atom: -0.2374
Magnetization, μB/cell: 4.14

abc: 9.8696 7.7618 8.1562
angles: 96.56 90.00 129.48
With the nearest neighbours (Å) after each atom.
Fractional coordinates of all 11 atoms:
Rh  0.1265  0.2529  0.3616  5 I 2.63-2.71
I  0.6552  0.3103  0.5338  1 Rh 2.63
I  0.8985  0.7969  0.3140  2 Rh 2.70-2.71, 1 Fe 2.99
I  0.0371  0.7017  0.8611  1 Rh 2.63, 1 Fe 2.69
I  0.3354  0.2983  0.1389  1 Rh 2.63, 1 Fe 2.69
I  0.9629  0.2983  0.1389  1 Rh 2.63, 1 Fe 2.69
I  0.1015  0.2031  0.6860  2 Rh 2.70-2.71, 1 Fe 2.99
I  0.3448  0.6897  0.4662  1 Rh 2.63
Rh  0.8735  0.7471  0.6384  5 I 2.63-2.71
Fe  0.0000  0.0000  0.0000  6 I 2.69-2.99
I  0.6646  0.7017  0.8611  1 Rh 2.63, 1 Fe 2.69

***

[3]
A plane-wave DFT calculation with PBE was carried out for crystalline Fe2RhI8 at its relaxed geometry.

Properties
Final energy, Ry/atom: -0.2578
Magnetization, μB/cell: 9.00

abc: 6.8347 8.7199 8.7199
angles: 64.01 92.53 92.53
With the nearest neighbours (Å) after each atom.
Fractional coordinates of all 11 atoms:
Fe  0.5762  0.8370  0.8370  4 I 2.51-2.60
Rh  0.0000  0.0000  0.0000  6 I 2.71-2.75
I  0.3640  0.3293  0.3293  1 Fe 2.51
I  0.2383  0.8681  0.2820  1 Fe 2.60, 1 Rh 2.71
I  0.2383  0.2820  0.8681  1 Fe 2.60, 1 Rh 2.71
I  0.7985  0.1561  0.1561  1 Fe 2.57, 1 Rh 2.75
I  0.7617  0.7180  0.1319  1 Fe 2.60, 1 Rh 2.71
I  0.6360  0.6707  0.6707  1 Fe 2.51
Fe  0.4238  0.1630  0.1630  4 I 2.51-2.60
I  0.2015  0.8439  0.8439  1 Fe 2.57, 1 Rh 2.75
I  0.7617  0.1319  0.7180  1 Fe 2.60, 1 Rh 2.71

***

[4]
A plane-wave DFT calculation with PBE was carried out for crystalline FeRhI3 at its relaxed geometry.

Properties
Final energy, Ry/atom: -0.2507
Magnetization, μB/cell: 3.82

abc: 5.4011 5.4011 5.4011
angles: 90.00 90.00 90.00
With the nearest neighbours (Å) after each atom.
Fractional coordinates of all 5 atoms:
Fe  0.5000  0.5000  0.5000  12 I 3.82
I  0.5000  0.0000  0.0000  2 Rh 2.70
I  0.0000  0.5000  0.0000  2 Rh 2.70
Rh  0.0000  0.0000  0.0000  6 I 2.70
I  0.0000  0.0000  0.5000  2 Rh 2.70

***

[5]
A plane-wave DFT calculation with PBE was carried out for crystalline FeRhI6 at its relaxed geometry.

Properties
Final energy, Ry/atom: -0.2424
Magnetization, μB/cell: 4.95

abc: 7.3963 7.3963 6.6667
angles: 90.56 90.56 119.55
With the nearest neighbours (Å) after each atom.
Fractional coordinates of all 8 atoms:
I  0.7073  0.0007  0.7554  1 Rh 2.70, 1 Fe 2.77
Rh  0.0000  0.0000  0.0000  6 I 2.70
I  0.9993  0.2927  0.2446  1 Rh 2.70, 1 Fe 2.77
I  0.2907  0.2907  0.7646  1 Rh 2.70, 1 Fe 2.77
I  0.2927  0.9993  0.2446  1 Rh 2.70, 1 Fe 2.77
I  0.0007  0.7073  0.7554  1 Rh 2.70, 1 Fe 2.77
Fe  0.0000  0.0000  0.5000  6 I 2.77
I  0.7093  0.7093  0.2354  1 Rh 2.70, 1 Fe 2.77

***

[6]
A plane-wave DFT calculation with PBE was carried out for crystalline Fe2RhI6 at its relaxed geometry.

Properties
Final energy, Ry/atom: -0.2825
Magnetization, μB/cell: 13.97

abc: 7.0145 9.9501 9.9501
angles: 80.58 78.75 78.75
With the nearest neighbours (Å) after each atom.
Fractional coordinates of all 18 atoms:
I  0.6316  0.6716  0.1146  1 Fe 2.63, 1 Rh 2.74
I  0.1316  0.1146  0.6716  1 Fe 2.63, 1 Rh 2.74
Fe  0.1366  0.3677  0.5431  1 Fe 2.34
I  0.9503  0.5524  0.7055  3 Fe 2.62-2.86
I  0.4503  0.7055  0.5524  3 Fe 2.62-2.86
I  0.8754  0.1699  0.0339  2 Rh 2.69-2.71
Rh  0.2500  0.0766  0.9234  6 I 2.69-2.74
I  0.5497  0.2945  0.4476  3 Fe 2.62-2.86
Rh  0.7500  0.9234  0.0766  6 I 2.69-2.74
I  0.0497  0.4476  0.2945  3 Fe 2.62-2.86
Fe  0.8634  0.6323  0.4569  1 Fe 2.34
Fe  0.3634  0.4569  0.6323  1 Fe 2.34
Fe  0.6366  0.5431  0.3677  1 Fe 2.34
I  0.3684  0.3284  0.8854  1 Fe 2.63, 1 Rh 2.74
I  0.3754  0.0339  0.1699  2 Rh 2.69-2.71
I  0.6246  0.9661  0.8301  2 Rh 2.69-2.71
I  0.1246  0.8301  0.9661  2 Rh 2.69-2.71
I  0.8684  0.8854  0.3284  1 Fe 2.63, 1 Rh 2.74

***

[7]
A plane-wave DFT calculation with PBE was carried out for crystalline FeRh2I at its relaxed geometry.

Properties
Final energy, Ry/atom: -0.3922
Magnetization, μB/cell: 0.01

abc: 4.4588 4.4588 4.4588
angles: 60.00 60.00 60.00
With the nearest neighbours (Å) after each atom.
Fractional coordinates of all 4 atoms:
Fe  0.0000  0.0000  0.0000  8 Rh 2.73
Rh  0.7500  0.7500  0.7500  4 I 2.73, 4 Fe 2.73
I  0.5000  0.5000  0.5000  8 Rh 2.73
Rh  0.2500  0.2500  0.2500  4 Fe 2.73, 4 I 2.73

***

[8]
A plane-wave DFT calculation with PBE was carried out for crystalline FeRuRh2I at its relaxed geometry.

Properties
Final energy, Ry/atom: -0.3570
Magnetization, μB/cell: 0.16

abc: 4.7675 4.5012 4.7675
angles: 90.00 90.00 90.00
With the nearest neighbours (Å) after each atom.
Fractional coordinates of all 5 atoms:
Ru  0.5000  0.5000  0.5000  8 Rh 3.28, 4 Fe 3.37
Rh  0.0000  0.0000  0.5000  2 I 2.38
Rh  0.5000  0.0000  0.0000  2 I 2.38
Fe  0.0000  0.5000  0.0000  2 I 2.25
I  0.0000  0.0000  0.0000  2 Fe 2.25, 4 Rh 2.38

***

Question: Which of these has the lowest final energy?
Answer: number 1

***

Question: Which value of magnetization does entry 1 give?
Answer: 7.67 μB/cell

***

Repeat the seventh record exactly.
A plane-wave DFT calculation with PBE was carried out for crystalline FeRh2I at its relaxed geometry.

Properties
Final energy, Ry/atom: -0.3922
Magnetization, μB/cell: 0.01

abc: 4.4588 4.4588 4.4588
angles: 60.00 60.00 60.00
With the nearest neighbours (Å) after each atom.
Fractional coordinates of all 4 atoms:
Fe  0.0000  0.0000  0.0000  8 Rh 2.73
Rh  0.7500  0.7500  0.7500  4 I 2.73, 4 Fe 2.73
I  0.5000  0.5000  0.5000  8 Rh 2.73
Rh  0.2500  0.2500  0.2500  4 Fe 2.73, 4 I 2.73